Entry from the Alexandria database: an optimized crystal structure of BeVC2F (PBE with a Hubbard U).

Computed properties:
spin magnetization	0.00	μB per formula unit
DFT total energy	-4.6020	eV/atom

Unit cell a=3.7585 b=3.7585 c=4.8991 alpha=90.00 beta=90.00 gamma=90.00
Space group P4/mmm (No. 123)
One atom of each set of equivalent atoms:
Be (0.0000, 0.0000, 0.0000) [1 per cell]
V (0.0000, 0.0000, 0.5000) [1 per cell]
C (0.0000, 0.5000, 0.5000) [2 per cell]
F (0.5000, 0.5000, 0.0000) [1 per cell]